No. 1
DFT (GGA-PBE) results for crystalline TaTiBe4 at its relaxed geometry.

Structure (CIF):
```
data_TaTiBe4
_cell_length_a 6.4620
_cell_length_b 6.4620
_cell_length_c 6.4620
_cell_angle_alpha 90.00
_cell_angle_beta 90.00
_cell_angle_gamma 90.00
_space_group_name_H-M_alt 'F -4 3 m'
_space_group_IT_number 216
_space_group_name_Hall 'F -4 2 3'
loop_
_atom_site_label
_atom_site_type_symbol
_atom_site_fract_x
_atom_site_fract_y
_atom_site_fract_z
_atom_site_occupancy
Ta1 Ta 0.0000 0.0000 0.0000 1
Ti1 Ti 0.2500 0.2500 0.7500 1
Be1 Be 0.1253 0.1253 0.3747 1
```



No. 2
# PmTmCuAg GGA-PBE optimized geometry
data_PmTmCuAg
_cell_length_a 3.5342
_cell_length_b 3.5342
_cell_length_c 7.3166
_cell_angle_alpha 90.00
_cell_angle_beta 90.00
_cell_angle_gamma 90.00
_space_group_name_H-M_alt 'P 4 m m'
_space_group_IT_number 99
_space_group_name_Hall 'P 4 -2'
loop_
_atom_site_label
_atom_site_type_symbol
_atom_site_fract_x
_atom_site_fract_y
_atom_site_fract_z
_atom_site_occupancy
Pm1 Pm 0.0000 0.0000 0.0000 1
Tm1 Tm 0.0000 0.0000 0.5276 1
Cu1 Cu 0.5000 0.5000 0.7429 1
Ag1 Ag 0.5000 0.5000 0.2853 1
# - Excess energy over the best structure of this formula in the dataset: 0 meV/atom



No. 3
# ZnSi2Mo GGA-PBE optimized geometry
data_ZnSi2Mo
_cell_length_a 9.5067
_cell_length_b 2.7664
_cell_length_c 4.4359
_cell_angle_alpha 90.00
_cell_angle_beta 93.13
_cell_angle_gamma 90.00
_space_group_name_H-M_alt 'C 1 m 1'
_space_group_IT_number 8
_space_group_name_Hall 'C -2y'
loop_
_atom_site_label
_atom_site_type_symbol
_atom_site_fract_x
_atom_site_fract_y
_atom_site_fract_z
_atom_site_occupancy
Zn1 Zn 0.0000 0.0000 0.0000 1
Si1 Si 0.2439 0.0000 0.7883 1
Si2 Si 0.4777 0.0000 0.4918 1
Mo1 Mo 0.2432 0.5000 0.2857 1
# - E_form (uncorrected): 0.08 eV/atom



No. 4
# KTc2Sb GGA-PBE optimized geometry
data_KTc2Sb
_cell_length_a 4.4917
_cell_length_b 4.4917
_cell_length_c 3.9752
_cell_angle_alpha 90.00
_cell_angle_beta 90.00
_cell_angle_gamma 90.00
_space_group_name_H-M_alt 'P 4/m m m'
_space_group_IT_number 123
_space_group_name_Hall '-P 4 2'
loop_
_atom_site_label
_atom_site_type_symbol
_atom_site_fract_x
_atom_site_fract_y
_atom_site_fract_z
_atom_site_occupancy
K1 K 0.0000 0.0000 0.0000 1
Tc1 Tc 0.0000 0.5000 0.5000 1
Sb1 Sb 0.5000 0.5000 0.0000 1
# - E_form (uncorrected): 1.24 eV/atom



No. 5
# BeZn2O GGA-PBE optimized geometry
data_BeZn2O
_cell_length_a 5.4892
_cell_length_b 5.4892
_cell_length_c 7.3716
_cell_angle_alpha 90.00
_cell_angle_beta 90.00
_cell_angle_gamma 90.00
_space_group_name_H-M_alt 'I -4 2 d'
_space_group_IT_number 122
_space_group_name_Hall 'I -4 2bw'
loop_
_atom_site_label
_atom_site_type_symbol
_atom_site_fract_x
_atom_site_fract_y
_atom_site_fract_z
_atom_site_occupancy
Be1 Be 0.0000 0.0000 0.0000 1
Zn1 Zn 0.2039 0.2500 0.6250 1
O1 O 0.0000 0.0000 0.5000 1
# - Excess energy over the best structure of this formula in the dataset: 0 meV/atom
# - E_form (uncorrected): -0.24 eV/atom



No. 6
# GdZrIn GGA-PBE optimized geometry
data_GdZrIn
_cell_length_a 5.1541
_cell_length_b 5.1541
_cell_length_c 3.4282
_cell_angle_alpha 90.00
_cell_angle_beta 90.00
_cell_angle_gamma 120.00
_space_group_name_H-M_alt 'P 3 m 1'
_space_group_IT_number 156
_space_group_name_Hall 'P 3 -2"'
loop_
_atom_site_label
_atom_site_type_symbol
_atom_site_fract_x
_atom_site_fract_y
_atom_site_fract_z
_atom_site_occupancy
Gd1 Gd 0.0000 0.0000 0.0000 1
Zr1 Zr 0.6667 0.3333 0.4731 1
In1 In 0.3333 0.6667 0.5551 1
# - Excess energy over the best structure of this formula in the dataset: 124 meV/atom



No. 7
DFT (GGA-PBE) results for crystalline Ta2MnMo at its relaxed geometry.

Structure (CIF):
```
data_Ta2MnMo
_cell_length_a 3.1533
_cell_length_b 3.1533
_cell_length_c 6.3151
_cell_angle_alpha 90.00
_cell_angle_beta 90.00
_cell_angle_gamma 90.00
_space_group_name_H-M_alt 'P 4/m m m'
_space_group_IT_number 123
_space_group_name_Hall '-P 4 2'
loop_
_atom_site_label
_atom_site_type_symbol
_atom_site_fract_x
_atom_site_fract_y
_atom_site_fract_z
_atom_site_occupancy
Ta1 Ta 0.0000 0.0000 0.2412 1
Mn1 Mn 0.5000 0.5000 0.0000 1
Mo1 Mo 0.5000 0.5000 0.5000 1
```



No. 8
# Sr5Re3BrO15 GGA-PBE optimized geometry
data_Sr5Re3BrO15
_cell_length_a 7.5914
_cell_length_b 18.8915
_cell_length_c 10.7431
_cell_angle_alpha 90.00
_cell_angle_beta 90.00
_cell_angle_gamma 90.00
_space_group_name_H-M_alt 'P n m a'
_space_group_IT_number 62
_space_group_name_Hall '-P 2ac 2n'
loop_
_atom_site_label
_atom_site_type_symbol
_atom_site_fract_x
_atom_site_fract_y
_atom_site_fract_z
_atom_site_occupancy
Sr1 Sr 0.0028 0.0844 0.2467 1
Sr2 Sr 0.1895 0.7500 0.5125 1
Sr3 Sr 0.2326 0.1053 0.6087 1
Re1 Re 0.2042 0.0573 0.9424 1
Re2 Re 0.2386 0.2500 0.3480 1
Br1 Br 0.1206 0.2500 0.7424 1
O1 O 0.0225 0.1077 0.0127 1
O2 O 0.0608 0.7500 0.9276 1
O3 O 0.0627 0.0524 0.8020 1
O4 O 0.0988 0.1828 0.4265 1
O5 O 0.1326 0.6200 0.4018 1
O6 O 0.2175 0.0324 0.3996 1
O7 O 0.2370 0.6827 0.7215 1
O8 O 0.2397 0.5313 0.6056 1
# - E_form (uncorrected): -2.30 eV/atom



What are the E_tot values for these records? In order: -5.946; -4.309; -5.660; -5.252; -3.044; -8.526; -11.105; -7.372 eV per atom.
What are the DOS at the Fermi energy values for these records? In order: 0.80; 0.52; 0.52; 0.91; 0.00; 1.37; 0.78; 0.00 states/eV/atom.